Dy2ZnPd5 | PBE | relaxed

Cell lengths 5.960, 5.960, 7.906 Å; angles 90.00, 90.00, 90.00 degrees
Atoms (fractional coordinates):
Dy  0.000  0.500  0.000
Dy  0.000  0.500  0.500
Dy  0.500  0.000  0.000
Dy  0.500  0.000  0.500
Zn  0.000  0.000  0.000
Zn  0.500  0.500  0.500
Pd  0.000  0.000  0.500
Pd  0.250  0.250  0.250
Pd  0.250  0.250  0.750
Pd  0.250  0.750  0.250
Pd  0.250  0.750  0.750
Pd  0.500  0.500  0.000
Pd  0.750  0.250  0.250
Pd  0.750  0.250  0.750
Pd  0.750  0.750  0.250
Pd  0.750  0.750  0.750

Total moment   0.00 μB/f.u.
Energy relative to the elements   -811 meV/atom
Theoretical density   10.911 g/cm³